Record 1
# PBE Sr3Zn8Sn, optimized geometry
data_Sr3Zn8Sn
_symmetry_space_group_name_H-M 'P 1'
_symmetry_Int_Tables_number 1
_cell_length_a 5.748
_cell_length_b 5.748
_cell_length_c 9.860
_cell_angle_alpha 73.05
_cell_angle_beta 73.05
_cell_angle_gamma 60.00
loop_
_symmetry_equiv_pos_as_xyz
'x,y,z'
loop_
_atom_site_label
_atom_site_fract_x
_atom_site_fract_y
_atom_site_fract_z
Zn1 0.438 0.937 0.186
Zn2 0.939 0.438 0.683
Zn3 0.438 0.939 0.683
Zn4 0.939 0.939 0.683
Sr1 0.503 0.503 0.492
Sr2 0.376 0.376 0.873
Zn5 0.438 0.438 0.186
Zn6 0.937 0.438 0.186
Zn7 0.189 0.189 0.434
Sr3 0.995 0.995 0.014
Zn8 0.686 0.686 0.942
Sn1 0.871 0.871 0.387
# space group = No. 160
# magnetic moment = 0.000 μB per atom
# formation energy from the elements = -162 meV per atom



Record 2
# PBE LaYTe4, optimized geometry
data_LaYTe4
_symmetry_space_group_name_H-M 'P 1'
_symmetry_Int_Tables_number 1
_cell_length_a 6.428
_cell_length_b 6.428
_cell_length_c 6.428
_cell_angle_alpha 60.00
_cell_angle_beta 60.00
_cell_angle_gamma 60.00
loop_
_symmetry_equiv_pos_as_xyz
'x,y,z'
loop_
_atom_site_label
_atom_site_fract_x
_atom_site_fract_y
_atom_site_fract_z
Te1 0.875 0.375 0.375
Y1 0.750 0.750 0.750
Te2 0.375 0.375 0.375
Te3 0.375 0.875 0.375
Te4 0.375 0.375 0.875
La1 0.000 0.000 0.000
# space group = No. 216
# magnetic moment = 0.258 μB per atom
# formation energy (no corrections) = -137.4 meV per atom



Record 3
# PBE LaTm5P6, optimized geometry
data_LaTm5P6
_symmetry_space_group_name_H-M 'P 1'
_symmetry_Int_Tables_number 1
_cell_length_a 6.939
_cell_length_b 6.942
_cell_length_c 6.940
_cell_angle_alpha 59.99
_cell_angle_beta 80.38
_cell_angle_gamma 70.47
loop_
_symmetry_equiv_pos_as_xyz
'x,y,z'
loop_
_atom_site_label
_atom_site_fract_x
_atom_site_fract_y
_atom_site_fract_z
La1 0.000 0.000 0.000
P1 0.745 0.742 0.000
Tm1 0.500 0.500 0.000
P2 0.744 0.085 0.343
Tm2 0.000 0.333 0.334
P3 0.256 0.572 0.343
P4 0.744 0.428 0.657
Tm3 0.000 0.667 0.666
Tm4 0.500 0.835 0.330
P5 0.255 0.258 0.000
Tm5 0.500 0.165 0.670
P6 0.256 0.915 0.657
# space group = No. 12
# magnetic moment = 0.000 μB per atom
# formation energy from the elements = -1580 meV per atom